# Mg5SnAu4

Crystalline Mg5SnAu4 at its relaxed geometry (PBE-GGA, the Alexandria database).

a = 3.342 Å, b = 3.342 Å, c = 17.215 Å
α = 90.00°, β = 90.00°, γ = 90.00°
Fractional positions:
Mg1 0.500 0.500 0.312
Mg2 0.500 0.500 0.126
Mg3 0.500 0.500 0.500
Mg4 0.500 0.500 0.874
Mg5 0.500 0.500 0.688
Au1 0.000 0.000 0.217
Au2 0.000 0.000 0.406
Au3 0.000 0.000 0.594
Au4 0.000 0.000 0.783
Sn1 0.000 0.000 0.000

Computed properties:
Total moment, μB per formula unit: 0.000
Fermi-level density of states, states/eV per cell: 2.74
E, eV per atom: -3.0258
Formation energy, eV/f.u.: -5.17